P | The following is a PBE-GGA calculation of a relaxed structure of LiPmTe, from the Alexandria database.

Unit cell a=6.1328 b=6.1419 c=8.9849 alpha=107.01 beta=90.00 gamma=90.00
Atoms (fractional coordinates):
Li 0.0006 0.1403 0.7875
Li 0.0006 0.6403 0.2874
Li 0.5006 0.3597 0.7126
Li 0.5006 0.8597 0.2125
Te 0.0007 0.7224 0.5932
Te 0.0007 0.2223 0.0933
Te 0.5007 0.7777 0.9067
Te 0.5007 0.2776 0.4068
Pm 0.0007 0.1759 0.4427
Pm 0.5007 0.8241 0.5573
Pm 0.5007 0.3243 0.0574
Pm 0.0007 0.6757 0.9426



Q | The following is a PBE-GGA calculation of a relaxed structure of LiPmTe, from the Alexandria database.

Unit cell a=4.1701 b=4.1701 c=5.3987 alpha=112.72 beta=112.72 gamma=90.00
Atoms (fractional coordinates):
Te 0.2993 0.2993 0.5986
Pm 0.9500 0.9500 0.8999
Li 0.6008 0.6008 0.2015



Bottom line: P, by a margin of 0.194 eV/atom.



P | The following is a PBE-GGA calculation of a relaxed structure of LiPm4Te5, from the Alexandria database.

Unit cell a=6.2810 b=7.6745 c=7.6745 alpha=80.36 beta=65.84 gamma=65.84
Atoms (fractional coordinates):
Li 0.0257 0.0000 0.0000
Pm 0.4015 0.3990 0.7937
Pm 0.8005 0.7937 0.6010
Pm 0.1952 0.2063 0.3990
Pm 0.5942 0.6010 0.2063
Te 0.9015 0.3831 0.8093
Te 0.2846 0.8093 0.6169
Te 0.7109 0.1907 0.3831
Te 0.0940 0.6169 0.1907
Te 0.5021 0.0000 0.0000



Q | The following is a PBE-GGA calculation of a relaxed structure of LiPm4Te5, from the Alexandria database.

Unit cell a=4.4504 b=4.4504 c=16.0502 alpha=97.97 beta=97.97 gamma=90.00
Atoms (fractional coordinates):
Li 0.0000 0.0000 0.0000
Pm 0.4031 0.4031 0.8061
Pm 0.7977 0.7977 0.5954
Pm 0.2023 0.2023 0.4046
Pm 0.5969 0.5969 0.1939
Te 0.0991 0.0991 0.1983
Te 0.5000 0.5000 0.0000
Te 0.9009 0.9009 0.8017
Te 0.3023 0.3023 0.6046
Te 0.6977 0.6977 0.3954



Bottom line: P, by a margin of 0.025 eV/atom.



P | The following is a PBE-GGA calculation of a relaxed structure of LiPm2Ti, from the Alexandria database.

Unit cell a=3.4852 b=3.4852 c=8.7548 alpha=90.00 beta=90.00 gamma=90.00
Atoms (fractional coordinates):
Ti 0.5000 0.5000 0.0000
Li 0.5000 0.5000 0.5000
Pm 0.0000 0.0000 0.7663
Pm 0.0000 0.0000 0.2337



Q | The following is a PBE-GGA calculation of a relaxed structure of LiPm2Ti, from the Alexandria database.

Unit cell a=3.2566 b=3.2566 c=11.8833 alpha=82.12 beta=82.12 gamma=60.00
Atoms (fractional coordinates):
Ti 0.0000 0.0000 0.0000
Li 0.5000 0.5000 0.5000
Pm 0.0831 0.0831 0.7507
Pm 0.9169 0.9169 0.2493



Bottom line: P, by a margin of 0.289 eV/atom.



P | The following is a PBE-GGA calculation of a relaxed structure of LiPm3Tl4, from the Alexandria database.

Unit cell a=3.6480 b=9.3777 c=8.5187 alpha=123.40 beta=102.36 gamma=90.00
Atoms (fractional coordinates):
Li 0.5000 0.0000 0.0000
Pm 0.2221 0.2221 0.4443
Pm 0.7779 0.7779 0.5557
Pm 0.0000 0.5000 0.0000
Tl 0.3804 0.1312 0.7608
Tl 0.6196 0.8688 0.2392
Tl 0.6196 0.3704 0.2392
Tl 0.3804 0.6296 0.7608



Q | The following is a PBE-GGA calculation of a relaxed structure of LiPm3Tl4, from the Alexandria database.

Unit cell a=5.2899 b=5.2899 c=8.7022 alpha=107.69 beta=107.69 gamma=89.95
Atoms (fractional coordinates):
Tl 0.3818 0.3816 0.7638
Tl 0.6182 0.6184 0.2362
Tl 0.1184 0.1181 0.2362
Tl 0.8816 0.8819 0.7638
Pm 0.0000 0.5000 0.0000
Pm 0.7427 0.2427 0.4851
Pm 0.2573 0.7573 0.5149
Li 0.5000 0.0000 0.0000



Bottom line: Q, by a margin of 0.128 eV/atom.



P | The following is a PBE-GGA calculation of a relaxed structure of Li2PmTl3, from the Alexandria database.

Unit cell a=4.9776 b=4.9776 c=13.7297 alpha=90.00 beta=90.00 gamma=120.00
Atoms (fractional coordinates):
Li 0.6667 0.3333 0.4067
Li 0.3333 0.6667 0.5933
Li 0.3333 0.6667 0.9067
Li 0.6667 0.3333 0.0933
Pm 0.0000 0.0000 0.2500
Pm 0.0000 0.0000 0.7500
Tl 0.0000 0.0000 0.5000
Tl 0.0000 0.0000 0.0000
Tl 0.6667 0.3333 0.6329
Tl 0.3333 0.6667 0.1329
Tl 0.6667 0.3333 0.8671
Tl 0.3333 0.6667 0.3671



Q | The following is a PBE-GGA calculation of a relaxed structure of Li2PmTl3, from the Alexandria database.

Unit cell a=5.0805 b=5.0805 c=13.0801 alpha=90.00 beta=90.00 gamma=120.00
Atoms (fractional coordinates):
Li 0.0000 0.0000 0.5000
Li 0.3333 0.6667 0.1626
Li 0.6667 0.3333 0.8374
Li 0.0000 0.0000 0.0000
Pm 0.3333 0.6667 0.6714
Pm 0.6667 0.3333 0.3286
Tl 0.3333 0.6667 0.4226
Tl 0.6667 0.3333 0.0729
Tl 0.0000 0.0000 0.7755
Tl 0.0000 0.0000 0.2245
Tl 0.3333 0.6667 0.9271
Tl 0.6667 0.3333 0.5774



Bottom line: Q, by a margin of 0.046 eV/atom.



P | The following is a PBE-GGA calculation of a relaxed structure of LiPm2Tl3, from the Alexandria database.

Unit cell a=6.2141 b=6.2141 c=9.4133 alpha=103.49 beta=103.49 gamma=107.05
Atoms (fractional coordinates):
Li 0.6683 0.6683 0.3366
Li 0.3317 0.3317 0.6634
Pm 0.2500 0.7500 0.5000
Pm 0.7546 0.7546 0.0000
Pm 0.7500 0.2500 0.5000
Pm 0.2454 0.2454 0.0000
Tl 0.3514 0.8246 0.1760
Tl 0.1754 0.6486 0.8240
Tl 0.6486 0.1754 0.8240
Tl 0.8246 0.3514 0.1760
Tl 0.1746 0.1746 0.3493
Tl 0.8254 0.8254 0.6507



Q | The following is a PBE-GGA calculation of a relaxed structure of LiPm2Tl3, from the Alexandria database.

Unit cell a=5.3224 b=5.3224 c=13.2799 alpha=90.00 beta=90.00 gamma=120.00
Atoms (fractional coordinates):
Li 0.3333 0.6667 0.6591
Li 0.6667 0.3333 0.3409
Pm 0.0000 0.0000 0.5000
Pm 0.3333 0.6667 0.1797
Pm 0.6667 0.3333 0.8203
Pm 0.0000 0.0000 0.0000
Tl 0.3333 0.6667 0.4209
Tl 0.6667 0.3333 0.0895
Tl 0.0000 0.0000 0.7430
Tl 0.0000 0.0000 0.2570
Tl 0.3333 0.6667 0.9105
Tl 0.6667 0.3333 0.5791



Bottom line: Q, by a margin of 0.027 eV/atom.